(1)
First-principles (PBE+U) data for a relaxed Ni3SbP4O16 crystal, as listed in the Alexandria database.

Lattice parameters (Å, degrees): 4.8430 5.8375 9.9183 90.00 90.02 90.00
With the nearest neighbours (Å) after each atom.
Atoms (fractional coordinates):
Ni 0.0000 0.0000 0.0000  6 O 2.01-2.16
Ni 0.1291 0.5000 0.4564  4 O 1.96-2.11
Ni 0.5060 0.5000 0.9621  6 O 1.96-2.15
Sb 0.6183 0.0000 0.5151  6 O 1.96-2.10
P 0.1891 0.0000 0.3216  4 O 1.48-1.61
P 0.4482 0.0000 0.8300  4 O 1.51-1.63
P 0.6609 0.5000 0.6510  4 O 1.49-1.64
P 0.9463 0.5000 0.1393  4 O 1.54-1.57
O 0.2291 0.0000 0.1741  1 P 1.48
O 0.2610 0.5000 0.1198  1 P 1.54
O 0.2988 0.2076 0.8950  1 P 1.55
O 0.2988 0.7924 0.8950  1 P 1.55
O 0.3462 0.2015 0.4014  1 P 1.61
O 0.3462 0.7985 0.4014  1 P 1.61
O 0.3574 0.5000 0.6196  1 P 1.50
O 0.3678 0.0000 0.6699  1 P 1.63
O 0.7429 0.5000 0.7958  1 P 1.49
O 0.7591 0.0000 0.8350  1 P 1.51
O 0.7992 0.2919 0.0698  1 P 1.57
O 0.7992 0.7081 0.0698  1 P 1.57
O 0.8160 0.2915 0.5701  1 P 1.64
O 0.8160 0.7085 0.5701  1 P 1.64
O 0.8764 0.0000 0.3595  1 P 1.56
O 0.9008 0.5000 0.2930  1 P 1.54

Values from the calculation:
Symmetry ... Pm (6)
Final energy ... -6.39 eV per atom
Magnetization ... 4.9 μB/cell
Density of states at the Fermi level ... 7.61 states/eV per cell

(2)
First-principles (PBE+U) data for a relaxed TiNi3Sb2P6O24 crystal, as listed in the Alexandria database.

Lattice parameters (Å, degrees): 8.6668 8.6668 8.6668 60.24 60.24 60.24
With the nearest neighbours (Å) after each atom.
Atoms (fractional coordinates):
Ti 0.0000 0.0000 0.0000  6 O 1.90-2.00
Ni 0.2080 0.2080 0.2080  6 O 2.01-2.18
Ni 0.5082 0.5082 0.5082  3 O 2.00
Ni 0.7059 0.7059 0.7059  6 O 1.93-2.16
Sb 0.3541 0.3541 0.3541  6 O 2.08-2.09
Sb 0.8452 0.8452 0.8452  3 O 2.16
P 0.1086 0.3934 0.8096  4 O 1.50-1.61
P 0.3167 0.9048 0.6107  4 O 1.49-1.63
P 0.3934 0.8096 0.1086  4 O 1.50-1.61
P 0.6107 0.3167 0.9048  4 O 1.49-1.63
P 0.8096 0.1086 0.3934  4 O 1.50-1.61
P 0.9048 0.6107 0.3167  4 O 1.49-1.63
O 0.0331 0.2397 0.8647  1 P 1.53
O 0.1068 0.4401 0.3061  1 P 1.63
O 0.1125 0.9462 0.7598  1 P 1.58
O 0.1820 0.3607 0.9512  1 P 1.50
O 0.2397 0.8647 0.0331  1 P 1.53
O 0.2714 0.3923 0.6080  1 P 1.61
O 0.3061 0.1068 0.4401  1 P 1.63
O 0.3413 0.7560 0.5493  1 P 1.51
O 0.3607 0.9512 0.1820  1 P 1.50
O 0.3923 0.6080 0.2714  1 P 1.61
O 0.4401 0.3061 0.1068  1 P 1.63
O 0.4634 0.8726 0.6764  1 P 1.49
O 0.5493 0.3413 0.7560  1 P 1.51
O 0.5948 0.7740 0.9572  1 P 1.57
O 0.6080 0.2714 0.3923  1 P 1.61
O 0.6764 0.4634 0.8726  1 P 1.49
O 0.7560 0.5493 0.3413  1 P 1.51
O 0.7598 0.1125 0.9462  1 P 1.58
O 0.7740 0.9572 0.5948  1 P 1.57
O 0.8647 0.0331 0.2397  1 P 1.53
O 0.8726 0.6764 0.4634  1 P 1.49
O 0.9462 0.7598 0.1125  1 P 1.58
O 0.9512 0.1820 0.3607  1 P 1.50
O 0.9572 0.5948 0.7740  1 P 1.57

Values from the calculation:
Symmetry ... R3 (146)
Final energy ... -6.76 eV per atom
Magnetization ... 5.9 μB/cell

(3)
First-principles (PBE+U) data for a relaxed ScNiP2O8 crystal, as listed in the Alexandria database.

Lattice parameters (Å, degrees): 5.2881 5.2881 5.8263 90.00 90.00 120.00
With the nearest neighbours (Å) after each atom.
Atoms (fractional coordinates):
Sc 0.0000 0.0000 0.0000  6 O 2.10
Ni 0.0000 0.0000 0.5000  6 O 2.19
P 0.3333 0.6667 0.6740  4 O 1.52-1.56
P 0.6667 0.3333 0.3260  4 O 1.52-1.56
O 0.1720 0.3441 0.7616  1 P 1.56
O 0.1720 0.8280 0.7616  1 P 1.56
O 0.3333 0.6667 0.4128  1 P 1.52
O 0.3441 0.1720 0.2384  1 P 1.56
O 0.6559 0.8280 0.7616  1 P 1.56
O 0.6667 0.3333 0.5872  1 P 1.52
O 0.8280 0.1720 0.2384  1 P 1.56
O 0.8280 0.6559 0.2384  1 P 1.56

Values from the calculation:
Symmetry ... P-3m1 (164)
Final energy ... -7.03 eV per atom
Magnetization ... 3.1 μB/cell
Density of states at the Fermi level ... 9.77 states/eV per cell

(4)
First-principles (PBE+U) data for a relaxed ScNiP2O crystal, as listed in the Alexandria database.

Lattice parameters (Å, degrees): 4.5720 4.5720 3.5543 90.00 90.00 90.00
With the nearest neighbours (Å) after each atom.
Atoms (fractional coordinates):
Sc 0.0000 0.0000 0.0000  8 P 2.90, 4 O 3.23
Ni 0.5000 0.5000 0.5000  2 O 1.78
P 0.0000 0.5000 0.5000  2 Ni 2.29
P 0.5000 0.0000 0.5000  2 Ni 2.29
O 0.5000 0.5000 0.0000  2 Ni 1.78

Values from the calculation:
Symmetry ... P4/mmm (123)
Final energy ... -5.09 eV per atom
Magnetization ... 0.0 μB/cell
Density of states at the Fermi level ... 3.67 states/eV per cell
Energy relative to the lowest polymorph listed for this composition ... 0.00 eV per formula unit

(5)
First-principles (PBE+U) data for a relaxed ScNiP2O crystal, as listed in the Alexandria database.

Lattice parameters (Å, degrees): 5.0633 5.0633 3.8004 90.00 90.00 90.00
With the nearest neighbours (Å) after each atom.
Atoms (fractional coordinates):
Sc 0.0000 0.0000 0.0000  2 O 1.90
Ni 0.5000 0.5000 0.5000  8 P 3.17
P 0.0000 0.5000 0.0000  2 Sc 2.53
P 0.5000 0.0000 0.0000  2 Sc 2.53
O 0.0000 0.0000 0.5000  2 Sc 1.90

Values from the calculation:
Symmetry ... P4/mmm (123)
Final energy ... -4.56 eV per atom
Magnetization ... 0.0 μB/cell
Density of states at the Fermi level ... 3.16 states/eV per cell
Energy relative to the lowest polymorph listed for this composition ... 2.64 eV per formula unit

(6)
First-principles (PBE+U) data for a relaxed NiP2SeO crystal, as listed in the Alexandria database.

Lattice parameters (Å, degrees): 4.5841 4.5841 3.5115 90.00 90.00 90.00
With the nearest neighbours (Å) after each atom.
Atoms (fractional coordinates):
Ni 0.0000 0.0000 0.0000  2 O 1.76
P 0.0000 0.5000 0.0000  2 Ni 2.29
P 0.5000 0.0000 0.0000  2 Ni 2.29
Se 0.5000 0.5000 0.5000  8 P 2.89
O 0.0000 0.0000 0.5000  2 Ni 1.76

Values from the calculation:
Symmetry ... P4/mmm (123)
Final energy ... -3.88 eV per atom
Magnetization ... 0.0 μB/cell
Density of states at the Fermi level ... 2.95 states/eV per cell
Energy relative to the lowest polymorph listed for this composition ... 0.00 eV per formula unit

(7)
First-principles (PBE+U) data for a relaxed NiP2SeO crystal, as listed in the Alexandria database.

Lattice parameters (Å, degrees): 4.8940 4.8940 3.6192 90.00 90.00 90.00
With the nearest neighbours (Å) after each atom.
Atoms (fractional coordinates):
Ni 0.0000 0.0000 0.0000  8 P 3.04
P 0.0000 0.5000 0.5000  2 Se 2.45
P 0.5000 0.0000 0.5000  2 Se 2.45
Se 0.5000 0.5000 0.5000  2 O 1.81
O 0.5000 0.5000 0.0000  2 Se 1.81

Values from the calculation:
Symmetry ... P4/mmm (123)
Final energy ... -3.51 eV per atom
Magnetization ... 1.1 μB/cell
Density of states at the Fermi level ... 3.33 states/eV per cell
Energy relative to the lowest polymorph listed for this composition ... 1.89 eV per formula unit

(8)
First-principles (PBE+U) data for a relaxed SiNiP2O crystal, as listed in the Alexandria database.

Lattice parameters (Å, degrees): 4.7808 4.7808 3.2045 90.00 90.00 90.00
With the nearest neighbours (Å) after each atom.
Atoms (fractional coordinates):
Si 0.0000 0.0000 0.0000  2 O 1.60
Ni 0.5000 0.5000 0.5000  8 P 2.88, 2 Ni 3.20
P 0.0000 0.5000 0.0000  2 Si 2.39
P 0.5000 0.0000 0.0000  2 Si 2.39
O 0.0000 0.0000 0.5000  2 Si 1.60

Values from the calculation:
Symmetry ... P4/mmm (123)
Final energy ... -4.68 eV per atom
Magnetization ... 1.0 μB/cell
Density of states at the Fermi level ... 2.20 states/eV per cell
Energy relative to the lowest polymorph listed for this composition ... 0.00 eV per formula unit

(9)
First-principles (PBE+U) data for a relaxed SiNiPO2 crystal, as listed in the Alexandria database.

Lattice parameters (Å, degrees): 3.6298 3.6298 4.6457 90.00 90.00 90.00
With the nearest neighbours (Å) after each atom.
Atoms (fractional coordinates):
Si 0.0000 0.0000 0.0000  4 P 2.57
Ni 0.5000 0.5000 0.5000  4 O 1.81
P 0.5000 0.5000 0.0000  2 Ni 2.32, 4 Si 2.57
O 0.0000 0.5000 0.5000  2 Ni 1.81
O 0.5000 0.0000 0.5000  2 Ni 1.81

Values from the calculation:
Symmetry ... P4/mmm (123)
Final energy ... -4.46 eV per atom
Magnetization ... 0.0 μB/cell
Density of states at the Fermi level ... 2.08 states/eV per cell
Energy relative to the lowest polymorph listed for this composition ... 4.36 eV per formula unit

(10)
First-principles (PBE+U) data for a relaxed SiNiP2O crystal, as listed in the Alexandria database.

Lattice parameters (Å, degrees): 4.5369 4.5369 3.4552 90.00 90.00 90.00
With the nearest neighbours (Å) after each atom.
Atoms (fractional coordinates):
Si 0.0000 0.0000 0.0000  8 P 2.85
Ni 0.5000 0.5000 0.5000  2 O 1.73
P 0.0000 0.5000 0.5000  2 Ni 2.27
P 0.5000 0.0000 0.5000  2 Ni 2.27
O 0.5000 0.5000 0.0000  2 Ni 1.73

Values from the calculation:
Symmetry ... P4/mmm (123)
Final energy ... -4.18 eV per atom
Magnetization ... 0.0 μB/cell
Density of states at the Fermi level ... 4.72 states/eV per cell
Energy relative to the lowest polymorph listed for this composition ... 2.53 eV per formula unit

(11)
First-principles (PBE+U) data for a relaxed SiNiPO2 crystal, as listed in the Alexandria database.

Lattice parameters (Å, degrees): 3.3160 3.3160 5.9144 90.00 90.00 90.00
With the nearest neighbours (Å) after each atom.
Atoms (fractional coordinates):
Si 0.0000 0.0000 0.0000  4 O 1.66
Ni 0.5000 0.5000 0.5000  4 P 2.34
P 0.0000 0.0000 0.5000  4 Ni 2.34
O 0.0000 0.5000 0.0000  2 Si 1.66
O 0.5000 0.0000 0.0000  2 Si 1.66

Values from the calculation:
Symmetry ... P4/mmm (123)
Final energy ... -5.33 eV per atom
Magnetization ... 1.1 μB/cell
Density of states at the Fermi level ... 2.58 states/eV per cell
Energy relative to the lowest polymorph listed for this composition ... 0.00 eV per formula unit

(12)
First-principles (PBE+U) data for a relaxed Ni3SnP4O16 crystal, as listed in the Alexandria database.

Lattice parameters (Å, degrees): 4.8633 5.8501 9.9470 90.00 90.22 90.00
With the nearest neighbours (Å) after each atom.
Atoms (fractional coordinates):
Ni 0.0000 0.0000 0.0000  4 O 1.97-2.08
Ni 0.1293 0.5000 0.4520  6 O 1.98-2.16
Ni 0.6296 0.0000 0.4990  6 O 1.97-2.18
Sn 0.5096 0.5000 0.9462  6 O 2.03-2.16
P 0.1809 0.0000 0.3194  4 O 1.53-1.57
P 0.4576 0.0000 0.8112  4 O 1.51-1.60
P 0.6840 0.5000 0.6272  4 O 1.52-1.56
P 0.9480 0.5000 0.1377  4 O 1.51-1.59
O 0.2296 0.0000 0.1672  1 P 1.53
O 0.2584 0.5000 0.1086  1 P 1.54
O 0.3044 0.2060 0.8853  1 P 1.60
O 0.3044 0.7940 0.8853  1 P 1.60
O 0.3294 0.2065 0.3895  1 P 1.57
O 0.3294 0.7935 0.3895  1 P 1.57
O 0.3719 0.5000 0.6122  1 P 1.52
O 0.3937 0.0000 0.6614  1 P 1.52
O 0.7529 0.5000 0.7807  1 P 1.56
O 0.7637 0.0000 0.8390  1 P 1.51
O 0.7971 0.2957 0.0612  1 P 1.59
O 0.7971 0.7043 0.0612  1 P 1.59
O 0.8311 0.2935 0.5580  1 P 1.56
O 0.8311 0.7065 0.5580  1 P 1.56
O 0.8681 0.0000 0.3397  1 P 1.54
O 0.8972 0.5000 0.2869  1 P 1.51

Values from the calculation:
Symmetry ... Pm (6)
Final energy ... -6.40 eV per atom
Magnetization ... 3.9 μB/cell
Density of states at the Fermi level ... 11.68 states/eV per cell